## KRbN2F8 (PBE-GGA)

Data for KRbN2F8 after structural relaxation.

a b c (Å): 6.5078 6.5078 6.4883
angles (deg): 105.83 105.83 45.37
Positions (direct):
K 0.0000 0.0000 0.0000
Rb 0.5000 0.5000 0.5000
N 0.2521 0.2521 0.6865
N 0.7479 0.7479 0.3135
F 0.0047 0.5748 0.2227
F 0.1082 0.1082 0.4232
F 0.3909 0.3909 0.8777
F 0.4252 0.9953 0.7773
F 0.5748 0.0047 0.2227
F 0.6091 0.6091 0.1223
F 0.8918 0.8918 0.5768
F 0.9953 0.4252 0.7773

The calculation puts the size of the total moment at 0.07 μB/f.u. As for the total energy: -3.899 eV/atom. The value obtained for the uncorrected formation energy is -1.091 eV/atom.